1.
Ca4Ce3TaN8 | PBE | relaxed

abc: 6.9652 6.9420 6.9651
angles: 120.11 120.00 90.00
Atoms (fractional coordinates):
Ca (0.5000, 0.0000, 0.0000)
Ca (0.0000, 0.0000, 0.0000)
N (0.7413, 0.7239, 0.4827)
N (0.2351, 0.2854, 0.0102)
Ca (0.0000, 0.0000, 0.5000)
N (0.7649, 0.7146, 0.9898)
N (0.7752, 0.2854, 0.5503)
N (0.7751, 0.2854, 0.0102)
Ta (0.0000, 0.5000, 0.0000)
Ca (0.5000, 0.0000, 0.5000)
Ce (0.5000, 0.5000, 0.5000)
N (0.2587, 0.2761, 0.5173)
N (0.2248, 0.7146, 0.4497)
N (0.2249, 0.7146, 0.9898)
Ce (0.0000, 0.5000, 0.5000)
Ce (0.5000, 0.5000, 0.0000)

As for the total magnetization: 0.03 μB per atom. The uncorrected formation energy is -1.287 eV per atom.

---

2.
TiInGe3 | PBE | relaxed

abc: 4.9637 4.9637 4.9637
angles: 90.00 90.00 90.00
Atoms (fractional coordinates):
Ti (0.0000, 0.0000, 0.0000)
In (0.5000, 0.5000, 0.5000)
Ge (0.0000, 0.0000, 0.5000)
Ge (0.5000, 0.0000, 0.0000)
Ge (0.0000, 0.5000, 0.0000)

The formation energy from the elements is 0.913 eV/f.u. As for the total magnetization: 0.00 μB per atom.

---

3.
Tb2Th2O5 | PBE | relaxed

abc: 4.2514 4.2514 10.9099
angles: 90.00 90.00 90.00
Atoms (fractional coordinates):
Tb (0.0000, 0.0000, 0.0000)
O (0.0000, 0.5000, 0.3566)
O (0.5000, 0.5000, 0.5000)
Th (0.5000, 0.5000, 0.7045)
Th (0.5000, 0.5000, 0.2955)
O (0.0000, 0.5000, 0.6434)
O (0.5000, 0.0000, 0.6434)
Tb (0.0000, 0.0000, 0.5000)
O (0.5000, 0.0000, 0.3566)

As for the total magnetization: 0.23 μB per atom. The uncorrected formation energy is -2.658 eV per atom.

---

4.
AcCuSnRh | PBE | relaxed

abc: 4.9939 4.9939 4.9939
angles: 60.00 60.00 60.00
Atoms (fractional coordinates):
Sn (0.7500, 0.7500, 0.7500)
Rh (0.5000, 0.5000, 0.5000)
Cu (0.0000, 0.0000, 0.0000)
Ac (0.2500, 0.2500, 0.2500)

The formation energy from the elements is -1.205 eV/f.u. As for the total magnetization: 0.00 μB per atom.

---

5.
TaAlRh2 | PBE | relaxed

abc: 4.0236 2.8762 6.0689
angles: 61.40 90.00 90.00
Atoms (fractional coordinates):
Rh (0.0000, 0.0504, 0.9506)
Rh (0.5000, 0.2222, 0.2795)
Ta (0.0000, 0.5194, 0.4790)
Al (0.5000, 0.7080, 0.7909)

The formation energy from the elements is -2.367 eV/f.u. As for the total magnetization: 0.00 μB per atom.

---

6.
LaPbCl2 | PBE | relaxed

abc: 3.7447 6.0717 4.7635
angles: 90.00 90.00 90.00
Atoms (fractional coordinates):
Pb (0.0000, 0.5000, 0.5000)
Cl (0.5000, 0.5000, 0.0000)
La (0.5000, 0.0000, 0.5000)
Cl (0.0000, 0.0000, 0.0000)

As for the total magnetization: 0.00 μB per atom. The value obtained for the energy relative to the lowest polymorph listed for this composition is 11.5 kJ per mole of atoms. The uncorrected formation energy is -1.238 eV per atom.

---

7.
MgZn4Rh3 | PBE | relaxed

abc: 4.3208 6.1407 8.6372
angles: 90.00 90.00 90.00
Atoms (fractional coordinates):
Rh (0.0000, 0.0000, 0.5000)
Zn (0.5000, 0.2354, 0.0000)
Mg (0.0000, 0.5000, 0.0000)
Zn (0.0002, 0.2354, 0.7500)
Zn (0.0002, 0.7646, 0.7500)
Zn (0.5000, 0.7646, 0.5000)
Zn (0.5000, 0.7646, 0.0000)
Rh (0.5002, 0.0000, 0.7500)
Rh (0.5003, 0.5000, 0.7500)
Rh (0.4997, 0.5000, 0.2500)
Zn (0.9998, 0.2354, 0.2500)
Rh (0.4998, 0.0000, 0.2500)
Mg (0.0000, 0.5000, 0.5000)
Zn (0.5000, 0.2354, 0.5000)
Rh (0.0000, 0.0000, 0.0000)
Zn (0.9998, 0.7646, 0.2500)

The formation energy from the elements is -3.287 eV/f.u. As for the total magnetization: 0.00 μB per atom.

---

8.
Ce4CdPb | PBE | relaxed

abc: 5.2444 6.2730 6.2725
angles: 98.96 64.99 64.98
Atoms (fractional coordinates):
Ce (0.7687, 0.9333, 0.5782)
Pb (0.5000, 0.5000, 0.5000)
Ce (0.2312, 0.4218, 0.0667)
Ce (0.2312, 0.0667, 0.4218)
Cd (0.0000, 0.0000, 0.0000)
Ce (0.7687, 0.5782, 0.9333)

The formation energy from the elements is -0.839 eV/f.u. As for the total magnetization: 0.38 μB per atom.

---

9.
MgTi2ReS | PBE | relaxed

abc: 4.7234 4.5407 4.7234
angles: 90.00 90.00 90.00
Atoms (fractional coordinates):
Ti (0.0000, 0.0000, 0.5000)
Re (0.0000, 0.5000, 0.0000)
S (0.5000, 0.5000, 0.5000)
Ti (0.5000, 0.0000, 0.0000)
Mg (0.0000, 0.0000, 0.0000)

As for the total magnetization: 0.00 μB per atom. The uncorrected formation energy is 1.729 eV per atom.

---

10.
CaOsCl2 | PBE | relaxed

abc: 3.3491 4.5848 4.5848
angles: 90.00 90.00 90.00
Atoms (fractional coordinates):
Cl (0.0000, 0.0000, 0.0000)
Os (0.5000, 0.5000, 0.0000)
Cl (0.0000, 0.5000, 0.5000)
Ca (0.5000, 0.0000, 0.5000)

As for the total magnetization: 0.00 μB per atom. The value obtained for the energy relative to the lowest polymorph listed for this composition is 47.5 kJ per mole of atoms. The uncorrected formation energy is 0.081 eV per atom.

---

11.
ZnCuRh2 | PBE | relaxed

abc: 4.2882 4.2882 4.2882
angles: 60.00 60.00 60.00
Atoms (fractional coordinates):
Zn (0.2500, 0.2500, 0.2500)
Cu (0.5000, 0.5000, 0.5000)
Rh (0.0000, 0.0000, 0.0000)
Rh (0.7500, 0.7500, 0.7500)

The formation energy from the elements is -0.063 eV/f.u. As for the total magnetization: 0.34 μB per atom.

---

12.
MnPHCS | PBE | relaxed

abc: 4.7512 2.7067 5.0612
angles: 90.00 113.11 90.00
Atoms (fractional coordinates):
H (0.5546, 0.5000, 0.3942)
P (0.9829, 0.5000, 0.8106)
Mn (0.2494, 0.0000, 0.6109)
C (0.5753, 0.5000, 0.6198)
S (0.9535, 0.5000, 0.2460)

As for the total magnetization: 0.23 μB per atom. The value obtained for the energy relative to the lowest polymorph listed for this composition is 29.1 kJ per mole of atoms.